The following is a GGA-PBE calculation of Pr3Ga2BRh3 after structural relaxation, from Alexandria via LeMat-Bulk.

CIF file:
```
data_Pr3Ga2BRh3
_chemical_formula_sum 'Pr3 Ga2 B1 Rh3'
_cell_length_a 3.687
_cell_length_b 7.473
_cell_length_c 7.473
_cell_angle_alpha 120.00
_cell_angle_beta 90.00
_cell_angle_gamma 90.00
_symmetry_space_group_name_H-M 'P 1'
_symmetry_Int_Tables_number 1
loop_
_symmetry_equiv_pos_as_xyz
'x,y,z'
loop_
_atom_site_label
_atom_site_fract_x
_atom_site_fract_y
_atom_site_fract_z
Pr1 0.000 0.000 0.372
Pr2 0.000 0.628 0.628
Pr3 0.000 0.372 0.000
Ga1 0.500 0.333 0.667
Ga2 0.500 0.667 0.333
B1 0.000 0.000 0.000
Rh1 0.500 0.787 0.000
Rh2 0.500 0.213 0.213
Rh3 0.500 0.000 0.787
```

## Properties
- Energy of formation from the pure elements: -484 meV per atom
- Raw total energy: -53.48 eV/f.u.

***

The following is a GGA-PBE calculation of Fe3Ir after structural relaxation, from Alexandria via LeMat-Bulk.

CIF file:
```
data_Fe3Ir
_chemical_formula_sum 'Fe3 Ir1'
_cell_length_a 2.606
_cell_length_b 2.606
_cell_length_c 8.328
_cell_angle_alpha 90.00
_cell_angle_beta 90.00
_cell_angle_gamma 113.97
_symmetry_space_group_name_H-M 'P 1'
_symmetry_Int_Tables_number 1
loop_
_symmetry_equiv_pos_as_xyz
'x,y,z'
loop_
_atom_site_label
_atom_site_fract_x
_atom_site_fract_y
_atom_site_fract_z
Fe1 0.000 0.000 0.989
Fe2 0.500 0.500 0.750
Fe3 0.000 0.000 0.511
Ir1 0.500 0.500 0.250
```

## Properties
- Energy of formation from the pure elements: 77 meV per atom
- Raw total energy: -33.94 eV/f.u.

***

The following is a GGA-PBE calculation of TaReOs after structural relaxation, from Alexandria via LeMat-Bulk.

CIF file:
```
data_TaReOs
_chemical_formula_sum 'Ta1 Re1 Os1'
_cell_length_a 4.296
_cell_length_b 4.296
_cell_length_c 4.296
_cell_angle_alpha 60.00
_cell_angle_beta 60.00
_cell_angle_gamma 60.00
_symmetry_space_group_name_H-M 'P 1'
_symmetry_Int_Tables_number 1
loop_
_symmetry_equiv_pos_as_xyz
'x,y,z'
loop_
_atom_site_label
_atom_site_fract_x
_atom_site_fract_y
_atom_site_fract_z
Os1 0.000 0.000 0.000
Re1 0.500 0.500 0.500
Ta1 0.750 0.750 0.750
```

## Properties
- Energy of formation from the pure elements: 783 meV per atom
- Raw total energy: -33.18 eV/f.u.

***

The following is a GGA-PBE calculation of CuHW after structural relaxation, from Alexandria via LeMat-Bulk.

CIF file:
```
data_CuHW
_chemical_formula_sum 'Cu2 H2 W2'
_cell_length_a 2.745
_cell_length_b 4.147
_cell_length_c 5.805
_cell_angle_alpha 89.86
_cell_angle_beta 77.97
_cell_angle_gamma 89.96
_symmetry_space_group_name_H-M 'P 1'
_symmetry_Int_Tables_number 1
loop_
_symmetry_equiv_pos_as_xyz
'x,y,z'
loop_
_atom_site_label
_atom_site_fract_x
_atom_site_fract_y
_atom_site_fract_z
Cu1 0.674 0.248 0.856
Cu2 0.326 0.752 0.144
H1 0.355 0.256 0.147
H2 0.645 0.744 0.853
W1 0.274 0.750 0.617
W2 0.726 0.250 0.383
```

## Properties
- Raw total energy: -19.66 eV/f.u.

***

The following is a GGA-PBE calculation of NaCe3Pb5 after structural relaxation, from Alexandria via LeMat-Bulk.

CIF file:
```
data_NaCe3Pb5
_chemical_formula_sum 'Na2 Ce6 Pb10'
_cell_length_a 6.597
_cell_length_b 9.634
_cell_length_c 9.634
_cell_angle_alpha 120.00
_cell_angle_beta 90.00
_cell_angle_gamma 90.00
_symmetry_space_group_name_H-M 'P 1'
_symmetry_Int_Tables_number 1
loop_
_symmetry_equiv_pos_as_xyz
'x,y,z'
loop_
_atom_site_label
_atom_site_fract_x
_atom_site_fract_y
_atom_site_fract_z
Na1 0.000 0.000 0.000
Na2 0.500 0.000 0.000
Ce1 0.750 0.374 0.000
Ce2 0.750 0.626 0.626
Ce3 0.750 0.000 0.374
Ce4 0.250 0.626 0.000
Ce5 0.250 0.374 0.374
Ce6 0.250 0.000 0.626
Pb1 0.000 0.333 0.667
Pb2 0.500 0.667 0.333
Pb3 0.000 0.667 0.333
Pb4 0.500 0.333 0.667
Pb5 0.750 0.708 0.000
Pb6 0.750 0.292 0.292
Pb7 0.750 0.000 0.708
Pb8 0.250 0.292 0.000
Pb9 0.250 0.708 0.708
Pb10 0.250 0.000 0.292
```

## Properties
- Energy of formation from the pure elements: -310 meV per atom
- Raw total energy: -40.45 eV/f.u.

***

The following is a GGA-PBE calculation of InHgF2 after structural relaxation, from Alexandria via LeMat-Bulk.

CIF file:
```
data_InHgF2
_chemical_formula_sum 'In2 Hg2 F4'
_cell_length_a 6.712
_cell_length_b 6.712
_cell_length_c 7.237
_cell_angle_alpha 62.37
_cell_angle_beta 62.37
_cell_angle_gamma 90.00
_symmetry_space_group_name_H-M 'P 1'
_symmetry_Int_Tables_number 1
loop_
_symmetry_equiv_pos_as_xyz
'x,y,z'
loop_
_atom_site_label
_atom_site_fract_x
_atom_site_fract_y
_atom_site_fract_z
F1 0.376 0.125 0.250
F2 0.374 0.625 0.250
F3 0.375 0.624 0.750
F4 0.875 0.626 0.750
Hg1 0.000 0.000 0.000
Hg2 0.750 0.250 0.500
In1 0.500 0.500 0.000
In2 0.250 0.750 0.500
```

## Properties
- Formation energy from raw total energies: -1491 meV/atom
- Raw total energy: -12.75 eV/f.u.

***

The following is a GGA-PBE calculation of Ca2LuZn after structural relaxation, from Alexandria via LeMat-Bulk.

CIF file:
```
data_Ca2LuZn
_chemical_formula_sum 'Ca2 Lu1 Zn1'
_cell_length_a 3.625
_cell_length_b 3.625
_cell_length_c 12.311
_cell_angle_alpha 81.53
_cell_angle_beta 81.53
_cell_angle_gamma 60.00
_symmetry_space_group_name_H-M 'P 1'
_symmetry_Int_Tables_number 1
loop_
_symmetry_equiv_pos_as_xyz
'x,y,z'
loop_
_atom_site_label
_atom_site_fract_x
_atom_site_fract_y
_atom_site_fract_z
Zn1 0.000 0.000 0.000
Lu1 0.500 0.500 0.500
Ca1 0.085 0.085 0.744
Ca2 0.915 0.915 0.256
```

## Properties
- Energy of formation from the pure elements: 304 meV per atom
- Raw total energy: -8.58 eV/f.u.

***

The following is a GGA-PBE calculation of AlCrCoMo after structural relaxation, from Alexandria via LeMat-Bulk.

CIF file:
```
data_AlCrCoMo
_chemical_formula_sum 'Al1 Cr1 Co1 Mo1'
_cell_length_a 4.185
_cell_length_b 4.185
_cell_length_c 4.185
_cell_angle_alpha 60.00
_cell_angle_beta 60.00
_cell_angle_gamma 60.00
_symmetry_space_group_name_H-M 'P 1'
_symmetry_Int_Tables_number 1
loop_
_symmetry_equiv_pos_as_xyz
'x,y,z'
loop_
_atom_site_label
_atom_site_fract_x
_atom_site_fract_y
_atom_site_fract_z
Cr1 0.250 0.250 0.250
Mo1 0.000 0.000 0.000
Co1 0.750 0.750 0.750
Al1 0.500 0.500 0.500
```

## Properties
- Energy of formation from the pure elements: -81 meV per atom
- Raw total energy: -31.63 eV/f.u.

***

The following is a GGA-PBE calculation of TlAuSN2 after structural relaxation, from Alexandria via LeMat-Bulk.

CIF file:
```
data_TlAuSN2
_chemical_formula_sum 'Tl1 Au1 S1 N2'
_cell_length_a 4.228
_cell_length_b 4.228
_cell_length_c 5.757
_cell_angle_alpha 90.00
_cell_angle_beta 90.00
_cell_angle_gamma 90.00
_symmetry_space_group_name_H-M 'P 1'
_symmetry_Int_Tables_number 1
loop_
_symmetry_equiv_pos_as_xyz
'x,y,z'
loop_
_atom_site_label
_atom_site_fract_x
_atom_site_fract_y
_atom_site_fract_z
Tl1 0.000 0.000 0.000
Au1 0.500 0.500 0.500
S1 0.000 0.000 0.500
N1 0.000 0.500 0.000
N2 0.500 0.000 0.000
```

## Properties
- Formation energy from raw total energies: 1987 meV/atom
- Raw total energy: -16.49 eV/f.u.

***

The following is a GGA-PBE calculation of KPb3N after structural relaxation, from Alexandria via LeMat-Bulk.

CIF file:
```
data_KPb3N
_chemical_formula_sum 'K1 Pb3 N1'
_cell_length_a 6.182
_cell_length_b 6.182
_cell_length_c 6.182
_cell_angle_alpha 90.00
_cell_angle_beta 90.00
_cell_angle_gamma 90.00
_symmetry_space_group_name_H-M 'P 1'
_symmetry_Int_Tables_number 1
loop_
_symmetry_equiv_pos_as_xyz
'x,y,z'
loop_
_atom_site_label
_atom_site_fract_x
_atom_site_fract_y
_atom_site_fract_z
Pb1 0.000 0.500 0.000
Pb2 0.000 0.000 0.500
Pb3 0.500 0.000 0.000
K1 0.000 0.000 0.000
N1 0.500 0.500 0.500
```

## Properties
- Formation energy from raw total energies: 1911 meV/atom
- Raw total energy: -10.99 eV/f.u.

***

The following is a GGA-PBE calculation of CsTiIBr2 after structural relaxation, from Alexandria via LeMat-Bulk.

CIF file:
```
data_CsTiIBr2
_chemical_formula_sum 'Cs1 Ti1 I1 Br2'
_cell_length_a 5.426
_cell_length_b 5.426
_cell_length_c 5.866
_cell_angle_alpha 90.00
_cell_angle_beta 90.00
_cell_angle_gamma 90.00
_symmetry_space_group_name_H-M 'P 1'
_symmetry_Int_Tables_number 1
loop_
_symmetry_equiv_pos_as_xyz
'x,y,z'
loop_
_atom_site_label
_atom_site_fract_x
_atom_site_fract_y
_atom_site_fract_z
Cs1 0.500 0.500 0.500
I1 0.000 0.000 0.500
Br1 0.000 0.500 0.000
Br2 0.500 0.000 0.000
Ti1 0.000 0.000 0.000
```

## Properties
- Formation energy from raw total energies: -1161 meV/atom
- Raw total energy: -19.45 eV/f.u.

***

The following is a GGA-PBE calculation of BaCoSe after structural relaxation, from Alexandria via LeMat-Bulk.

CIF file:
```
data_BaCoSe
_chemical_formula_sum 'Ba1 Co1 Se1'
_cell_length_a 6.123
_cell_length_b 6.123
_cell_length_c 6.123
_cell_angle_alpha 145.83
_cell_angle_beta 145.83
_cell_angle_gamma 49.10
_symmetry_space_group_name_H-M 'P 1'
_symmetry_Int_Tables_number 1
loop_
_symmetry_equiv_pos_as_xyz
'x,y,z'
loop_
_atom_site_label
_atom_site_fract_x
_atom_site_fract_y
_atom_site_fract_z
Ba1 0.001 0.001 0.000
Co1 0.718 0.718 0.000
Se1 0.281 0.281 0.000
```

## Properties
- Formation energy from raw total energies: -177 meV/atom
- Raw total energy: -13.04 eV/f.u.

***

The following is a GGA-PBE calculation of LaTaTl2 after structural relaxation, from Alexandria via LeMat-Bulk.

CIF file:
```
data_LaTaTl2
_chemical_formula_sum 'La1 Ta1 Tl2'
_cell_length_a 3.357
_cell_length_b 3.960
_cell_length_c 8.141
_cell_angle_alpha 90.00
_cell_angle_beta 90.00
_cell_angle_gamma 90.00
_symmetry_space_group_name_H-M 'P 1'
_symmetry_Int_Tables_number 1
loop_
_symmetry_equiv_pos_as_xyz
'x,y,z'
loop_
_atom_site_label
_atom_site_fract_x
_atom_site_fract_y
_atom_site_fract_z
La1 0.000 0.000 0.532
Ta1 0.500 0.500 0.784
Tl1 0.000 0.000 0.963
Tl2 0.500 0.500 0.221
```

## Properties
- Energy of formation from the pure elements: 375 meV per atom
- Raw total energy: -20.01 eV/f.u.